Here is Li2Mg3Au3 after structural relaxation from Alexandria. Energies are from PBE.

Summary:
Its energy above the most stable polymorph in this dataset is 0.15 eV per formula unit. Its space-group type is Immm. For the total energy, the calculation gives -2.819 eV/atom. The calculation puts the energy relative to the elements at -514 meV per atom. As for the calculated volume: 17.5 Å³/atom.

Cell lengths 3.5682, 4.3899, 9.3855 Å; angles 103.52, 100.96, 90.00 degrees
Positions (direct):
Li  0.7480  0.2480  0.4960
Li  0.2520  0.7520  0.5040
Mg  0.6231  0.6231  0.2461
Mg  0.3769  0.3769  0.7539
Mg  0.5000  0.0000  0.0000
Au  0.1359  0.1359  0.2718
Au  0.0000  0.5000  0.0000
Au  0.8641  0.8641  0.7282